[1]
# SnH8C2Br3N

Crystalline SnH8C2Br3N at its relaxed geometry (GGA-PBEsol, the Alexandria database).

Results
**Electronic total energy**: -561.41 eV for the cell shown
**Theoretical density**: 3.1 Mg/m³
**Fermi-level density of states**: 0.000 states/eV per atom
**Space group**: Pbca, No. 61

Cell: 11.9694 12.0729 11.9714 Å, 90.00 90.00 90.00°
Element x y z (fractional)
H: 0.4073 0.6661 0.9729
H: 0.9356 0.6447 0.9673
H: 0.5949 0.2631 0.6415
H: 0.1061 0.8346 0.3615
H: 0.1061 0.6654 0.8615
H: 0.0927 0.3339 0.4729
H: 0.6450 0.7219 0.0476
H: 0.6061 0.8346 0.1385
H: 0.0949 0.2369 0.3585
H: 0.4542 0.3689 0.5498
H: 0.3550 0.2219 0.4524
H: 0.1450 0.7219 0.4524
H: 0.0257 0.7917 0.8615
H: 0.4542 0.1311 0.0498
H: 0.4717 0.1813 0.6160
H: 0.0458 0.6311 0.0498
H: 0.9542 0.1311 0.4502
H: 0.4051 0.7369 0.3585
H: 0.5644 0.3553 0.4673
H: 0.6450 0.7781 0.5476
H: 0.3939 0.3346 0.3615
H: 0.4356 0.8553 0.0327
H: 0.9717 0.1813 0.8840
H: 0.0458 0.8689 0.5498
H: 0.0644 0.1447 0.5327
H: 0.5927 0.1661 0.5271
H: 0.4356 0.6447 0.5327
H: 0.4073 0.8339 0.4729
H: 0.9073 0.6661 0.5271
H: 0.9073 0.8339 0.0271
H: 0.4717 0.3187 0.1160
H: 0.0257 0.7083 0.3615
H: 0.5283 0.6813 0.8840
H: 0.5458 0.8689 0.9502
H: 0.9542 0.3689 0.9502
H: 0.4743 0.2917 0.8615
H: 0.8939 0.3346 0.1385
H: 0.5644 0.1447 0.9673
H: 0.0644 0.3553 0.0327
H: 0.5458 0.6311 0.4502
H: 0.9743 0.2917 0.6385
H: 0.9717 0.3187 0.3840
H: 0.9356 0.8553 0.4673
H: 0.0949 0.2631 0.8585
H: 0.3550 0.2781 0.9524
H: 0.9051 0.7631 0.6415
H: 0.9051 0.7369 0.1415
H: 0.8550 0.2219 0.0476
H: 0.8939 0.1654 0.6385
H: 0.0283 0.8187 0.1160
H: 0.1450 0.7781 0.9524
H: 0.5927 0.3339 0.0271
H: 0.0283 0.6813 0.6160
H: 0.0927 0.1661 0.9729
H: 0.8550 0.2781 0.5476
H: 0.4743 0.2083 0.3615
H: 0.6061 0.6654 0.6385
H: 0.9743 0.2083 0.1385
H: 0.5257 0.7917 0.6385
H: 0.5257 0.7083 0.1385
H: 0.5949 0.2369 0.1415
H: 0.5283 0.8187 0.3840
H: 0.4051 0.7631 0.8585
H: 0.3939 0.1654 0.8615
Sn: 0.7430 0.0055 0.2925
Sn: 0.2430 0.0055 0.2075
Sn: 0.7430 0.4945 0.7925
Sn: 0.7570 0.9945 0.7925
Sn: 0.2430 0.4945 0.7075
Sn: 0.7570 0.5055 0.2925
Sn: 0.2570 0.5055 0.2075
Sn: 0.2570 0.9945 0.7075
Br: 0.7696 0.5203 0.0214
Br: 0.7649 0.7714 0.8226
Br: 0.2351 0.2286 0.1774
Br: 0.7649 0.7286 0.3226
Br: 0.2351 0.2714 0.6774
Br: 0.0319 0.5122 0.2247
Br: 0.9681 0.4878 0.7753
Br: 0.5319 0.5122 0.2753
Br: 0.2696 0.9797 0.9786
Br: 0.7304 0.4797 0.5214
Br: 0.4681 0.0122 0.2247
Br: 0.7696 0.9797 0.5214
Br: 0.2696 0.5203 0.4786
Br: 0.4681 0.4878 0.7247
Br: 0.2304 0.0203 0.4786
Br: 0.0319 0.9878 0.7247
Br: 0.2649 0.7286 0.1774
Br: 0.7351 0.2714 0.8226
Br: 0.2304 0.4797 0.9786
Br: 0.7304 0.0203 0.0214
Br: 0.9681 0.0122 0.2753
Br: 0.5319 0.9878 0.7753
Br: 0.7351 0.2286 0.3226
Br: 0.2649 0.7714 0.6774
C: 0.9251 0.2660 0.0871
C: 0.5425 0.2244 0.5768
C: 0.5425 0.2756 0.0768
C: 0.0749 0.7660 0.4129
C: 0.9575 0.7756 0.0768
C: 0.5749 0.7660 0.0871
C: 0.4575 0.7756 0.4232
C: 0.0749 0.7340 0.9129
C: 0.0425 0.2756 0.4232
C: 0.4251 0.2660 0.4129
C: 0.9251 0.2340 0.5871
C: 0.4575 0.7244 0.9232
C: 0.5749 0.7340 0.5871
C: 0.9575 0.7244 0.5768
C: 0.0425 0.2244 0.9232
C: 0.4251 0.2340 0.9129
N: 0.4978 0.3111 0.5018
N: 0.0022 0.8111 0.5018
N: 0.5022 0.8111 0.9982
N: 0.9978 0.3111 0.9982
N: 0.5022 0.6889 0.4982
N: 0.0022 0.6889 0.0018
N: 0.4978 0.1889 0.0018
N: 0.9978 0.1889 0.4982

[2]
# Li2Sn2Hg

Crystalline Li2Sn2Hg at its relaxed geometry (GGA-PBEsol, the Alexandria database).

Results
**ΔH_f (0 K)**: -235 meV/atom
**Theoretical density**: 7.0 Mg/m³
**Fermi-level density of states**: 0.348 states/eV per atom
**Space group**: P4/mbm, No. 127

Cell: 3.1692 8.2230 8.2230 Å, 90.00 90.00 90.00°
Element x y z (fractional)
Sn: 0.0000 0.6245 0.1245
Sn: 0.0000 0.1245 0.3755
Sn: 0.0000 0.3755 0.8755
Sn: 0.0000 0.8755 0.6245
Hg: 0.0000 0.5000 0.5000
Hg: 0.0000 0.0000 0.0000
Li: 0.5000 0.8214 0.3214
Li: 0.5000 0.6786 0.8214
Li: 0.5000 0.3214 0.1786
Li: 0.5000 0.1786 0.6786

[3]
# Ba2TlH7O7

Crystalline Ba2TlH7O7 at its relaxed geometry (GGA-PBEsol, the Alexandria database).

Results
**Electronic total energy**: -183.04 eV for the cell shown
**Theoretical density**: 5.0 Mg/m³
**Fermi-level density of states**: 0.000 states/eV per atom
**Space group**: C2/c, No. 15

Cell: 6.5264 6.7275 10.3979 Å, 97.35 90.00 119.02°
Element x y z (fractional)
O: 0.7930 0.6688 0.5444
O: 0.4825 0.3737 0.2015
O: 0.0008 0.0000 0.7500
O: 0.2070 0.3312 0.4556
O: 0.8912 0.3737 0.7015
O: 0.9992 0.0000 0.2500
O: 0.5175 0.6263 0.7985
O: 0.6459 0.1962 0.3960
O: 0.1088 0.6263 0.2985
O: 0.5503 0.1962 0.8960
O: 0.4497 0.8038 0.1040
O: 0.1242 0.3312 0.9556
O: 0.8758 0.6688 0.0444
O: 0.3541 0.8038 0.6040
H: 0.9095 0.7941 0.1197
H: 0.6933 0.2682 0.8473
H: 0.1493 0.0000 0.2500
H: 0.4251 0.7318 0.6527
H: 0.3127 0.2737 0.2068
H: 0.3067 0.7318 0.1527
H: 0.0389 0.7263 0.2932
H: 0.0905 0.2059 0.8803
H: 0.5749 0.2682 0.3473
H: 0.1154 0.2059 0.3803
H: 0.8846 0.7941 0.6197
H: 0.9611 0.2737 0.7068
H: 0.6873 0.7263 0.7932
H: 0.8507 0.0000 0.7500
Ba: 0.1926 0.7608 0.8709
Ba: 0.5682 0.7608 0.3709
Ba: 0.4318 0.2392 0.6291
Ba: 0.8074 0.2392 0.1291
Tl: 0.0000 0.5000 0.5000
Tl: 0.5000 0.5000 0.0000

[4]
# Be2TcRu2

Crystalline Be2TcRu2 at its relaxed geometry (GGA-PBEsol, the Alexandria database).

Results
**ΔH_f (0 K)**: -186 meV/atom
**Theoretical density**: 9.6 Mg/m³
**Fermi-level density of states**: 0.635 states/eV per atom
**Space group**: P4/mbm, No. 127

Cell: 2.8515 6.2172 6.2172 Å, 90.00 90.00 90.00°
Element x y z (fractional)
Be: 0.0000 0.1268 0.3732
Be: 0.0000 0.6268 0.1268
Be: 0.0000 0.3732 0.8732
Be: 0.0000 0.8732 0.6268
Tc: 0.0000 0.5000 0.5000
Tc: 0.0000 0.0000 0.0000
Ru: 0.5000 0.8342 0.3342
Ru: 0.5000 0.3342 0.1658
Ru: 0.5000 0.1658 0.6658
Ru: 0.5000 0.6658 0.8342

[5]
# SrLa2Sb

Crystalline SrLa2Sb at its relaxed geometry (GGA-PBEsol, the Alexandria database).

Results
**Energy relative to the elements, uncorrected**: -456 meV/atom
**Theoretical density**: 6.1 Mg/m³
**Fermi-level density of states**: 1.038 states/eV per atom
**Space group**: Cm, No. 8

Cell: 4.1896 5.4962 6.5590 Å, 111.75 108.63 90.00°
Element x y z (fractional)
Sr: 0.7830 0.3352 0.5661
La: 0.2100 0.7714 0.4200
La: 0.0008 0.9551 0.0017
Sb: 0.5061 0.4382 0.0122

[6]
# BaRh2Se

Crystalline BaRh2Se at its relaxed geometry (GGA-PBEsol, the Alexandria database).

Results
**Energy relative to the elements, uncorrected**: -250 meV/atom
**Theoretical density**: 7.1 Mg/m³
**Fermi-level density of states**: 0.849 states/eV per atom
**Space group**: P2/m, No. 10

Cell: 4.0380 4.8890 5.0064 Å, 93.79 90.00 90.00°
Element x y z (fractional)
Se: 0.5000 0.0000 0.5000
Rh: 0.0000 0.9470 0.7567
Rh: 0.0000 0.0530 0.2433
Ba: 0.5000 0.5000 0.0000

[7]
# FeOsW2

Crystalline FeOsW2 at its relaxed geometry (GGA-PBEsol, the Alexandria database).

Results
**ΔH_f (0 K)**: 118 meV/atom
**Theoretical density**: 18.2 Mg/m³
**Fermi-level density of states**: 0.873 states/eV per atom
**ΔE to the lowest computed polymorph**: 0.000 eV/atom
**Space group**: P4/mmm, No. 123

Cell: 3.8517 3.7772 3.8524 Å, 90.00 90.00 90.00°
Each line ends with the local moment (μB).
Element x y z (fractional)
W: 0.0000 0.0000 0.0000  -0.07
W: 0.5000 0.0000 0.5000  -0.07
Os: 0.0000 0.5000 0.5000  0.02
Fe: 0.5000 0.5000 0.0000  1.27

[8]
# La2AlCdGa

Crystalline La2AlCdGa at its relaxed geometry (GGA-PBEsol, the Alexandria database).

Results
**ΔH_f (0 K)**: 120 meV/atom
**Theoretical density**: 5.2 Mg/m³
**Fermi-level density of states**: 1.384 states/eV per atom
**Space group**: P4/mmm, No. 123

Cell: 4.8135 5.6621 5.6621 Å, 90.00 90.00 90.00°
Element x y z (fractional)
Cd: 0.5000 0.0000 0.0000
Al: 0.5000 0.5000 0.5000
La: 0.0000 0.0000 0.5000
La: 0.0000 0.5000 0.0000
Ga: 0.0000 0.0000 0.0000

[9]
# ReOsSe

Crystalline ReOsSe at its relaxed geometry (GGA-PBEsol, the Alexandria database).

Results
**Energy relative to the elements, uncorrected**: 598 meV/atom
**Theoretical density**: 17.1 Mg/m³
**Fermi-level density of states**: 0.764 states/eV per atom
**Space group**: P3m1, No. 156

Cell: 2.9245 4.1801 4.1801 Å, 120.00 90.00 90.00°
Element x y z (fractional)
Se: 0.3910 0.6667 0.3333
Os: 0.0449 0.0000 0.0000
Re: 0.5641 0.3333 0.6667

[10]
# TcRuRh2

Crystalline TcRuRh2 at its relaxed geometry (GGA-PBEsol, the Alexandria database).

Results
**ΔH_f (0 K)**: 385 meV/atom
**Theoretical density**: 12.2 Mg/m³
**Fermi-level density of states**: 1.265 states/eV per atom
**ΔE to the lowest computed polymorph**: 0.413 eV/atom
**Space group**: F-43m, No. 216

Cell: 4.2758 4.2758 4.2758 Å, 60.00 60.00 60.00°
Each line ends with the local moment (μB).
Element x y z (fractional)
Rh: 0.0000 0.0000 0.0000  0.01
Rh: 0.7500 0.7500 0.7500  0.03
Tc: 0.2500 0.2500 0.2500  -0.02
Ru: 0.5000 0.5000 0.5000  0.11

[11]
# Tc2HgRh

Crystalline Tc2HgRh at its relaxed geometry (GGA-PBEsol, the Alexandria database).

Results
**ΔH_f (0 K)**: 240 meV/atom
**Theoretical density**: 13.7 Mg/m³
**Fermi-level density of states**: 1.038 states/eV per atom
**Space group**: Pmm2, No. 25

Cell: 2.7577 3.8623 5.6933 Å, 90.00 90.00 90.00°
Element x y z (fractional)
Hg: 0.0000 0.0000 0.5048
Tc: 0.0000 0.0000 0.0116
Tc: 0.5000 0.5000 0.2157
Rh: 0.5000 0.5000 0.7680

[12]
# CdAg2Sb

Crystalline CdAg2Sb at its relaxed geometry (GGA-PBEsol, the Alexandria database).

Results
**Energy relative to the elements, uncorrected**: 45 meV/atom
**Theoretical density**: 9.5 Mg/m³
**Fermi-level density of states**: 0.289 states/eV per atom
**ΔE to the lowest computed polymorph**: 0.002 eV/atom
**Space group**: I-4m2, No. 119

Cell: 4.2111 4.2111 5.3345 Å, 113.25 113.25 90.00°
Element x y z (fractional)
Cd: 0.5000 0.5000 0.0000
Ag: 0.0000 0.0000 0.0000
Ag: 0.7500 0.2500 0.5000
Sb: 0.2500 0.7500 0.5000